[1]
Compound: MgZr2Sc
Source: Alexandria via LeMat-Bulk
Functional: meta-GGA SCAN
Structure: single point on PBEsol structure

abc: 4.368 4.368 5.531
angles: 113.26 113.26 90.00
Last column: magnetic moment on the atom in μB.
Fractional coordinates of all 4 atoms:
Zr: 0.750 0.250 0.500  0.14
Sc: 0.000 0.000 0.000  0.03
Zr: 0.250 0.750 0.500  0.14
Mg: 0.500 0.500 0.000  0.00

Space-group type   No. 139
Raw total energy   -80.4 eV/cell
Density   4.77 g/cm3
Size of the total moment   0.53 Bohr magnetons per cell

***

[2]
Compound: MgZr2Sc
Source: Alexandria via LeMat-Bulk
Functional: meta-GGA SCAN
Structure: single point on PBEsol structure

abc: 3.164 5.488 5.502
angles: 102.09 90.00 106.76
Fractional coordinates of all 4 atoms:
Sc: 0.753 0.507 0.262
Zr: 0.997 0.993 0.972
Mg: 0.504 0.007 0.487
Zr: 0.246 0.492 0.780

Space-group type   No. 8
Raw total energy   -80.4 eV/cell
Density   4.68 g/cm3
Size of the total moment   0.05 Bohr magnetons per cell

***

> Among the records above, which one has the lowest size of the total moment?

number 2

***

Repeat the second record exactly.
Compound: MgZr2Sc
Source: Alexandria via LeMat-Bulk
Functional: meta-GGA SCAN
Structure: single point on PBEsol structure

abc: 3.164 5.488 5.502
angles: 102.09 90.00 106.76
Fractional coordinates of all 4 atoms:
Sc: 0.753 0.507 0.262
Zr: 0.997 0.993 0.972
Mg: 0.504 0.007 0.487
Zr: 0.246 0.492 0.780

Space-group type   No. 8
Raw total energy   -80.4 eV/cell
Density   4.68 g/cm3
Size of the total moment   0.05 Bohr magnetons per cell